[1]
Material: La5Ho4
Method: DFT, GGA-PBE
State: relaxed

Values from the calculation:
* crystal system: tetragonal
* DFT formation energy: 0.6 kcal/mol of atoms
* V: 34.23 Å³ per atom
* space-group type: I4/mmm, No. 139
* E_tot: -4.75 eV per atom
* DOS(E_F): 1.520 states/eV/atom

Cell and atoms, written as POSCAR:
```
La5Ho4
1.0
-0.2472 -0.2308 5.1655
-5.4529 -5.6700 2.0809
5.4440 -5.4547 2.6120
La Ho
5 4
direct
0.0000 0.9979 0.0021 La
0.6682 0.9979 0.6645 La
0.0000 0.3355 0.6645 La
0.3318 0.3355 0.0021 La
0.0000 0.6667 0.3333 La
0.3339 0.9991 0.3333 Ho
0.6661 0.6667 0.0009 Ho
0.3339 0.6667 0.6658 Ho
0.6661 0.3342 0.3333 Ho
```

[2]
Material: LaHo
Method: DFT, GGA-PBE
State: relaxed

Values from the calculation:
* crystal system: orthorhombic
* DFT formation energy: 1.7 kcal/mol of atoms
* V: 34.06 Å³ per atom
* space-group type: Cmcm, No. 63
* E_tot: -4.68 eV per atom
* energy above the most stable polymorph in this dataset: 55.8 meV per atom
* DOS(E_F): 1.682 states/eV/atom

Cell and atoms, written as POSCAR:
```
LaHo
1.0
3.5450 0.0000 -0.0380
0.0000 5.6912 0.0000
-1.6995 0.0000 6.7701
La Ho
2 2
direct
0.4407 0.2500 0.3809 La
0.5593 0.7500 0.6191 La
0.8150 0.7500 0.1300 Ho
0.1850 0.2500 0.8700 Ho
```

[3]
Material: LaHo2
Method: DFT, GGA-PBE
State: relaxed

Values from the calculation:
* crystal system: monoclinic
* DFT formation energy: 0.7 kcal/mol of atoms
* V: 32.99 Å³ per atom
* space-group type: C2/m, No. 12
* E_tot: -4.66 eV per atom
* energy above the most stable polymorph in this dataset: 7.6 meV per atom
* DOS(E_F): 1.524 states/eV/atom

Cell and atoms, written as POSCAR:
```
LaHo2
1.0
5.1212 0.0000 0.0000
0.0000 6.6500 -2.6407
-2.5606 -2.9785 6.9948
La Ho
2 4
direct
0.8319 0.7506 0.6639 La
0.1681 0.2494 0.3361 La
0.5029 0.7508 0.0057 Ho
0.4971 0.2492 0.9943 Ho
0.1640 0.7463 0.3281 Ho
0.8360 0.2537 0.6719 Ho
```

[4]
Material: La4Ho
Method: DFT, GGA-PBE
State: relaxed

Values from the calculation:
* crystal system: cubic
* DFT formation energy: 13.1 kcal/mol of atoms
* V: 41.97 Å³ per atom
* space-group type: Pm-3m, No. 221
* E_tot: -4.29 eV per atom
* energy above the most stable polymorph in this dataset: 548.7 meV per atom
* DOS(E_F): 1.919 states/eV/atom

Cell and atoms, written as POSCAR:
```
La4Ho
1.0
-3.9314 -3.7881 2.3468
-0.7710 -2.5042 -5.3336
4.3889 -3.8331 1.1652
La Ho
4 1
direct
0.5000 0.0000 0.5000 La
0.5000 0.5000 0.0000 La
0.0000 0.5000 0.5000 La
0.0000 0.0000 0.0000 La
0.5000 0.5000 0.5000 Ho
```

[5]
Material: LaHo4
Method: DFT, GGA-PBE
State: relaxed

Values from the calculation:
* crystal system: tetragonal
* DFT formation energy: 0.8 kcal/mol of atoms
* V: 32.27 Å³ per atom
* space-group type: I4/m, No. 87
* E_tot: -4.61 eV per atom
* energy above the most stable polymorph in this dataset: 3.6 meV per atom
* DOS(E_F): 1.503 states/eV/atom

Cell and atoms, written as POSCAR:
```
LaHo4
1.0
4.7469 0.0000 1.7722
2.3735 5.6430 0.8861
0.3998 0.0000 6.1727
Ho La
4 1
direct
0.8014 0.7969 0.6003 Ho
0.5983 0.6003 0.2031 Ho
0.4017 0.3997 0.7969 Ho
0.1986 0.2031 0.3997 Ho
0.0000 0.0000 0.0000 La
```

[6]
Material: LaHo5
Method: DFT, GGA-PBE
State: relaxed

Values from the calculation:
* crystal system: orthorhombic
* DFT formation energy: 0.7 kcal/mol of atoms
* V: 32.07 Å³ per atom
* space-group type: Cmmm, No. 65
* E_tot: -4.60 eV per atom
* energy above the most stable polymorph in this dataset: 6.4 meV per atom
* DOS(E_F): 1.503 states/eV/atom

Cell and atoms, written as POSCAR:
```
LaHo5
1.0
5.0444 0.0000 0.0000
0.0000 5.0357 0.0000
0.0000 -2.5179 7.5755
Ho La
5 1
direct
0.5000 0.1681 0.3363 Ho
0.0000 0.3305 0.6609 Ho
0.5000 0.8319 0.6637 Ho
0.0000 0.6695 0.3391 Ho
0.5000 0.5000 0.0000 Ho
0.0000 0.0000 0.0000 La
```

[7]
Material: La5Ho3
Method: DFT, GGA-PBE
State: relaxed

Values from the calculation:
* crystal system: orthorhombic
* DFT formation energy: 0.5 kcal/mol of atoms
* V: 34.54 Å³ per atom
* space-group type: Pmmm, No. 47
* E_tot: -4.78 eV per atom
* DOS(E_F): 1.546 states/eV/atom

Cell and atoms, written as POSCAR:
```
La5Ho3
1.0
5.0976 0.0000 0.0000
0.0000 5.2037 0.0000
0.0000 0.0000 10.4157
Ho La
3 5
direct
0.5000 0.0000 0.2533 Ho
0.5000 0.5000 0.5000 Ho
0.5000 0.0000 0.7467 Ho
0.0000 0.0000 0.0000 La
0.5000 0.5000 0.0000 La
0.0000 0.5000 0.7460 La
0.0000 0.5000 0.2540 La
0.0000 0.0000 0.5000 La
```

[8]
Material: La3Ho
Method: DFT, GGA-PBE
State: relaxed

Values from the calculation:
* crystal system: tetragonal
* DFT formation energy: 0.5 kcal/mol of atoms
* V: 35.27 Å³ per atom
* space-group type: I4/mmm, No. 139
* E_tot: -4.82 eV per atom
* DOS(E_F): 1.916 states/eV/atom

Cell and atoms, written as POSCAR:
```
La3Ho
1.0
-4.9295 1.0839 1.2538
-1.5888 -1.9702 -4.5433
2.7858 -4.2604 3.8500
La Ho
3 1
direct
0.2500 0.7500 0.5000 La
0.7500 0.2500 0.5000 La
0.5000 0.5000 0.0000 La
0.0000 0.0000 0.0000 Ho
```

[9]
Material: La2Ho7
Method: DFT, GGA-PBE
State: relaxed

Values from the calculation:
* crystal system: trigonal
* DFT formation energy: 0.6 kcal/mol of atoms
* V: 32.33 Å³ per atom
* space-group type: P-31m, No. 162
* E_tot: -4.63 eV per atom
* DOS(E_F): 1.486 states/eV/atom

Cell and atoms, written as POSCAR:
```
La2Ho7
1.0
-2.5590 5.5194 -1.1966
-2.7139 -5.1850 -2.0481
-4.5953 -0.5232 7.4139
Ho La
7 2
direct
0.3318 0.3318 0.3382 Ho
0.6682 0.6682 0.6618 Ho
0.0000 0.3318 0.6618 Ho
0.3318 0.0000 0.6618 Ho
0.6682 0.0000 0.3382 Ho
0.0000 0.6682 0.3382 Ho
0.0000 0.0000 0.0000 Ho
0.6667 0.3333 0.0000 La
0.3333 0.6667 0.0000 La
```

[10]
Material: La4Ho
Method: DFT, GGA-PBE
State: relaxed

Values from the calculation:
* crystal system: tetragonal
* DFT formation energy: 0.5 kcal/mol of atoms
* V: 35.48 Å³ per atom
* space-group type: I4/m, No. 87
* E_tot: -4.84 eV per atom
* energy above the most stable polymorph in this dataset: 0.1 meV per atom
* DOS(E_F): 1.947 states/eV/atom

Cell and atoms, written as POSCAR:
```
La4Ho
1.0
4.8547 0.0000 1.8124
2.4273 5.8508 0.9062
0.3810 0.0000 6.3875
La Ho
4 1
direct
0.3990 0.3979 0.8041 La
0.7969 0.8041 0.6021 La
0.2031 0.1959 0.3979 La
0.6010 0.6021 0.1959 La
0.0000 0.0000 0.0000 Ho
```

[11]
Material: LaHo8
Method: DFT, GGA-PBE
State: relaxed

Values from the calculation:
* crystal system: tetragonal
* DFT formation energy: 0.6 kcal/mol of atoms
* V: 31.70 Å³ per atom
* space-group type: I4/mmm, No. 139
* E_tot: -4.59 eV per atom
* DOS(E_F): 1.485 states/eV/atom

Cell and atoms, written as POSCAR:
```
LaHo8
1.0
5.0158 0.0000 0.0000
2.5079 7.5414 0.0000
2.5079 0.0000 7.5414
Ho La
8 1
direct
0.6647 0.3353 0.3353 Ho
0.6686 0.6628 0.0000 Ho
0.0000 0.6647 0.3353 Ho
0.0000 0.3353 0.6647 Ho
0.3314 0.0000 0.3372 Ho
0.3353 0.6647 0.6647 Ho
0.6686 0.0000 0.6628 Ho
0.3314 0.3372 0.0000 Ho
0.0000 0.0000 0.0000 La
```

[12]
Material: La2Ho3
Method: DFT, GGA-PBE
State: relaxed

Values from the calculation:
* crystal system: trigonal
* DFT formation energy: 6.7 kcal/mol of atoms
* V: 33.29 Å³ per atom
* space-group type: R-3c, No. 167
* E_tot: -4.43 eV per atom
* energy above the most stable polymorph in this dataset: 166.7 meV per atom
* DOS(E_F): 2.295 states/eV/atom

Cell and atoms, written as POSCAR:
```
La2Ho3
1.0
8.8835 0.0000 4.5523
3.2754 8.2576 4.5523
2.3722 1.6111 6.3147
Ho La
6 4
direct
0.9265 0.2501 0.2493 Ho
0.2501 0.5741 0.2493 Ho
0.7499 0.4259 0.7507 Ho
0.4259 0.0735 0.7507 Ho
0.5741 0.9265 0.2493 Ho
0.0735 0.7499 0.7507 Ho
0.5000 0.5000 0.5000 La
0.2500 0.2500 0.2501 La
0.0000 0.0000 0.0000 La
0.7500 0.7500 0.7499 La
```